[1]
Material: LaTb6Pr3Y2
Method: DFT, PBE
State: relaxed

Cell: 6.272 6.272 11.979 Å, 94.99 94.99 119.99°
Fractional coordinates of all 12 atoms:
1 Tb 0.917 0.583 0.751
2 La 0.000 0.000 0.000
3 Tb 0.417 0.083 0.249
4 Pr 0.500 0.500 0.500
5 Tb 0.749 0.749 0.249
6 Y 0.333 0.667 0.000
7 Tb 0.251 0.251 0.751
8 Y 0.667 0.333 0.000
9 Pr 0.833 0.167 0.500
10 Tb 0.583 0.917 0.751
11 Pr 0.167 0.833 0.500
12 Tb 0.083 0.417 0.249

Crystal system   monoclinic
Volume   33.490 Å³ per atom
E_form   0.0183 eV per atom

---

[2]
Material: BaTe2Se2
Method: DFT, PBE
State: relaxed

Cell: 4.369 4.369 10.172 Å, 77.60 77.60 90.00°
Fractional coordinates of all 5 atoms:
1 Ba 0.000 0.000 0.000
2 Te 0.250 0.750 0.500
3 Se 0.563 0.563 0.874
4 Se 0.437 0.437 0.126
5 Te 0.750 0.250 0.500

Formation energy without anion corrections   -0.7241 eV per atom
Crystal system   tetragonal
Volume   37.007 Å³ per atom
ΔE to the lowest computed polymorph   0.0000 eV per atom

---

[3]
Material: TeRh2
Method: DFT, PBE
State: relaxed

Cell: 13.278 13.278 13.278 Å, 162.84 162.84 24.36°
Fractional coordinates of all 12 atoms:
1 Rh 0.582 0.582 0.000
2 Rh 0.668 0.168 0.500
3 Rh 0.748 0.748 0.000
4 Rh 0.502 0.002 0.500
5 Te 0.927 0.927 0.000
6 Te 0.177 0.677 0.500
7 Rh 0.998 0.498 0.500
8 Rh 0.832 0.332 0.500
9 Te 0.073 0.073 0.000
10 Te 0.323 0.823 0.500
11 Rh 0.418 0.418 0.000
12 Rh 0.252 0.252 0.000

Formation energy without anion corrections   -0.0121 eV per atom
Crystal system   tetragonal
Volume   16.977 Å³ per atom
ΔE to the lowest computed polymorph   0.1575 eV per atom

---

[4]
Material: K3GeSe3
Method: DFT, PBE
State: relaxed

Cell: 6.595 10.240 10.240 Å, 119.85 90.00 90.00°
Fractional coordinates of all 14 atoms:
1 Se 0.750 0.606 0.803
2 K 0.750 0.353 0.177
3 Se 0.250 0.804 0.606
4 Se 0.250 0.394 0.197
5 K 0.250 0.176 0.353
6 K 0.750 0.824 0.175
7 Se 0.250 0.804 0.196
8 Ge 0.750 0.333 0.667
9 K 0.750 0.824 0.647
10 K 0.250 0.647 0.823
11 Se 0.750 0.196 0.394
12 K 0.250 0.176 0.825
13 Se 0.750 0.196 0.804
14 Ge 0.250 0.667 0.333

Formation energy without anion corrections   -0.7538 eV per atom
Crystal system   orthorhombic
Volume   42.840 Å³ per atom